The following is a DFT calculation (GGA+U) of an optimized crystal structure of CoSn3F.

Raw total energy (eV/f.u.): -17.0

Cell lengths 4.794, 4.794, 4.794 Å; angles 90.00, 90.00, 90.00 degrees
Space group Pm-3m (No. 221)
Symmetry-distinct sites (fractional):
1 Co 0.000 0.000 0.000 (multiplicity 1)
2 Sn 0.000 0.500 0.500 (multiplicity 3)
3 F 0.500 0.500 0.500 (multiplicity 1)